(1)
DFT (PBE) results for a geometry-optimized MgAsSe2 structure.

Lattice parameters (Å, degrees): 12.9879 3.6705 3.9023 90.00 91.81 90.00
Atoms (fractional coordinates):
Mg: 0.0000 0.0000 0.0000
Mg: 0.5000 0.5000 0.0000
As: 0.2829 0.5000 0.2748
As: 0.7829 0.0000 0.2748
Se: 0.2109 0.0000 0.9086
Se: 0.4748 0.0000 0.4924
Se: 0.7109 0.5000 0.9086
Se: 0.9748 0.5000 0.4924

Summary:
Relative energy among the computed polymorphs ... 0.080 eV per atom
Formation energy (no corrections) ... -0.45 eV per atom
Total energy ... -15.0 eV/f.u.
SG ... Cm

=====

(2)
DFT (PBE) results for a geometry-optimized MgAs2Se structure.

Lattice parameters (Å, degrees): 11.7207 3.8837 4.0787 90.00 109.80 90.00
Atoms (fractional coordinates):
Mg: 0.0000 0.0000 0.0000
Mg: 0.5000 0.5000 0.0000
As: 0.2466 0.5000 0.7985
As: 0.2534 0.0000 0.2015
As: 0.7466 0.0000 0.7985
As: 0.7534 0.5000 0.2015
Se: 0.0000 0.5000 0.5000
Se: 0.5000 0.0000 0.5000

Summary:
Relative energy among the computed polymorphs ... 0.047 eV per atom
Formation energy (no corrections) ... -0.37 eV per atom
Total energy ... -15.9 eV/f.u.
SG ... C2/m

=====

(3)
DFT (PBE) results for a geometry-optimized Mg3AsSe structure.

Lattice parameters (Å, degrees): 5.0032 5.0032 5.0032 90.00 90.00 90.00
Atoms (fractional coordinates):
Mg: 0.0000 0.0000 0.5000
Mg: 0.0000 0.5000 0.0000
Mg: 0.5000 0.0000 0.0000
As: 0.5000 0.5000 0.5000
Se: 0.0000 0.0000 0.0000

Summary:
Relative energy among the computed polymorphs ... 0.175 eV per atom
Formation energy (no corrections) ... -0.09 eV per atom
Total energy ... -13.4 eV/f.u.
SG ... Pm-3m

=====

(4)
DFT (PBE) results for a geometry-optimized MgAs2Se structure.

Lattice parameters (Å, degrees): 5.8397 5.8397 13.2394 90.00 90.00 90.00
Atoms (fractional coordinates):
Mg: 0.0000 0.0000 0.0000
Mg: 0.0000 0.5000 0.2500
Mg: 0.5000 0.0000 0.7500
Mg: 0.5000 0.5000 0.5000
As: 0.2443 0.2500 0.6250
As: 0.2500 0.7443 0.8750
As: 0.2500 0.7557 0.3750
As: 0.2557 0.2500 0.1250
As: 0.7443 0.7500 0.1250
As: 0.7500 0.2443 0.3750
As: 0.7500 0.2557 0.8750
As: 0.7557 0.7500 0.6250
Se: 0.0000 0.0000 0.5000
Se: 0.0000 0.5000 0.7500
Se: 0.5000 0.0000 0.2500
Se: 0.5000 0.5000 0.0000

Summary:
Relative energy among the computed polymorphs ... 0.494 eV per atom
Formation energy (no corrections) ... 0.08 eV per atom
Total energy ... -14.1 eV/f.u.
SG ... I-42d

=====

(5)
DFT (PBE) results for a geometry-optimized MgAsSe2 structure.

Lattice parameters (Å, degrees): 5.6129 5.6129 5.4681 90.00 90.00 90.00
Atoms (fractional coordinates):
Mg: 0.0000 0.0000 0.0000
Mg: 0.5000 0.5000 0.5000
As: 0.0000 0.0000 0.5000
As: 0.5000 0.5000 0.0000
Se: 0.0000 0.5000 0.0000
Se: 0.0000 0.5000 0.5000
Se: 0.5000 0.0000 0.0000
Se: 0.5000 0.0000 0.5000

Summary:
Relative energy among the computed polymorphs ... 0.138 eV per atom
Formation energy (no corrections) ... -0.39 eV per atom
Total energy ... -14.8 eV/f.u.
SG ... I4/mmm

=====

(6)
DFT (PBE) results for a geometry-optimized MgAsSe2 structure.

Lattice parameters (Å, degrees): 6.8696 6.8696 6.8696 90.00 90.00 90.00
Atoms (fractional coordinates):
Mg: 0.0000 0.0000 0.0000
Mg: 0.0000 0.5000 0.5000
Mg: 0.5000 0.0000 0.5000
Mg: 0.5000 0.5000 0.0000
As: 0.0000 0.0000 0.5000
As: 0.0000 0.5000 0.0000
As: 0.5000 0.0000 0.0000
As: 0.5000 0.5000 0.5000
Se: 0.2500 0.2500 0.2500
Se: 0.2500 0.2500 0.7500
Se: 0.2500 0.7500 0.2500
Se: 0.2500 0.7500 0.7500
Se: 0.7500 0.2500 0.2500
Se: 0.7500 0.2500 0.7500
Se: 0.7500 0.7500 0.2500
Se: 0.7500 0.7500 0.7500

Summary:
Relative energy among the computed polymorphs ... 0.452 eV per atom
Formation energy (no corrections) ... -0.08 eV per atom
Total energy ... -13.5 eV/f.u.
SG ... Fm-3m

=====

(7)
DFT (PBE) results for a geometry-optimized MgAs2Se structure.

Lattice parameters (Å, degrees): 2.8188 2.8188 11.4691 90.00 90.00 90.00
Atoms (fractional coordinates):
Mg: 0.0000 0.0000 0.0000
As: 0.5000 0.5000 0.1815
As: 0.5000 0.5000 0.8185
Se: 0.0000 0.0000 0.5000

Summary:
Relative energy among the computed polymorphs ... 0.501 eV per atom
Formation energy (no corrections) ... 0.08 eV per atom
Total energy ... -14.0 eV/f.u.
SG ... P4/mmm

=====

(8)
DFT (PBE) results for a geometry-optimized Mg3As5Se12 structure.

Lattice parameters (Å, degrees): 13.8885 13.8885 13.8885 109.47 109.47 109.47
Atoms (fractional coordinates):
Mg: 0.1250 0.2500 0.3750
Mg: 0.1250 0.3750 0.7500
Mg: 0.2500 0.3750 0.1250
Mg: 0.2500 0.8750 0.6250
Mg: 0.3750 0.1250 0.2500
Mg: 0.3750 0.7500 0.1250
Mg: 0.6250 0.2500 0.8750
Mg: 0.6250 0.8750 0.7500
Mg: 0.7500 0.1250 0.3750
Mg: 0.7500 0.6250 0.8750
Mg: 0.8750 0.6250 0.2500
Mg: 0.8750 0.7500 0.6250
As: 0.0000 0.0000 0.0000
As: 0.0000 0.0000 0.5000
As: 0.0000 0.5000 0.0000
As: 0.0000 0.5000 0.5000
As: 0.1250 0.7500 0.8750
As: 0.1250 0.8750 0.2500
As: 0.2500 0.1250 0.8750
As: 0.2500 0.6250 0.3750
As: 0.3750 0.2500 0.6250
As: 0.3750 0.6250 0.7500
As: 0.5000 0.0000 0.0000
As: 0.5000 0.0000 0.5000
As: 0.5000 0.5000 0.0000
As: 0.5000 0.5000 0.5000
As: 0.6250 0.3750 0.2500
As: 0.6250 0.7500 0.3750
As: 0.7500 0.3750 0.6250
As: 0.7500 0.8750 0.1250
As: 0.8750 0.1250 0.7500
As: 0.8750 0.2500 0.1250
Se: 0.0439 0.2155 0.1353
Se: 0.0439 0.3284 0.9086
Se: 0.0802 0.7155 0.6716
Se: 0.0802 0.8647 0.4086
Se: 0.0914 0.6353 0.4198
Se: 0.0914 0.9561 0.6716
Se: 0.1353 0.0439 0.2155
Se: 0.1353 0.5914 0.9198
Se: 0.1716 0.2155 0.5802
Se: 0.1716 0.4561 0.5914
Se: 0.2155 0.1353 0.0439
Se: 0.2155 0.5802 0.1716
Se: 0.2845 0.3284 0.9198
Se: 0.2845 0.4561 0.3647
Se: 0.3284 0.9086 0.0439
Se: 0.3284 0.9198 0.2845
Se: 0.3647 0.2845 0.4561
Se: 0.3647 0.5802 0.9086
Se: 0.4086 0.0802 0.8647
Se: 0.4086 0.8284 0.5439
Se: 0.4198 0.0914 0.6353
Se: 0.4198 0.8284 0.7845
Se: 0.4561 0.3647 0.2845
Se: 0.4561 0.5914 0.1716
Se: 0.5439 0.4086 0.8284
Se: 0.5439 0.6353 0.7155
Se: 0.5802 0.1716 0.2155
Se: 0.5802 0.9086 0.3647
Se: 0.5914 0.1716 0.4561
Se: 0.5914 0.9198 0.1353
Se: 0.6353 0.4198 0.0914
Se: 0.6353 0.7155 0.5439
Se: 0.6716 0.0802 0.7155
Se: 0.6716 0.0914 0.9561
Se: 0.7155 0.5439 0.6353
Se: 0.7155 0.6716 0.0802
Se: 0.7845 0.4198 0.8284
Se: 0.7845 0.8647 0.9561
Se: 0.8284 0.5439 0.4086
Se: 0.8284 0.7845 0.4198
Se: 0.8647 0.4086 0.0802
Se: 0.8647 0.9561 0.7845
Se: 0.9086 0.0439 0.3284
Se: 0.9086 0.3647 0.5802
Se: 0.9198 0.1353 0.5914
Se: 0.9198 0.2845 0.3284
Se: 0.9561 0.6716 0.0914
Se: 0.9561 0.7845 0.8647

Summary:
Formation energy (no corrections) ... -0.24 eV per atom
Total energy ... -74.7 eV/f.u.
SG ... Ia-3d